OsRhPb2 | PBE-GGA | optimized geometry

Lattice parameters (Å, degrees): 6.582 7.039 3.292 90.00 90.00 90.00
Space group Cmmm (No. 65)
Inequivalent atoms, fractional coordinates:
Os  0.000  0.000  0.000 x2
Rh  0.000  0.500  0.000 x2
Pb  0.250  0.250  0.500 x4

Results
Polymorph energy (0 for the lowest one) = 0.198 eV per atom
Formation energy = 0.60 eV/atom
D(E_F) = 2.0 states/eV/f.u.
Electronic total energy = -5.902 eV/atom